[1]
VASP calculation (PBE) on a relaxed structure of LiBeSn. Values from VASP.

The structure in Quantum ESPRESSO input format:
```
&SYSTEM
  ibrav = 0, nat = 6, ntyp = 3
/
ATOMIC_SPECIES
Sn 118.71 Sn.upf
Li 6.94 Li.upf
Be 9.01 Be.upf
CELL_PARAMETERS angstrom
-2.5772 -0.7114 -2.8606
-5.5565 -0.6571 5.1695
-0.6501 3.4181 -0.2643
ATOMIC_POSITIONS crystal
Sn 0.0000 0.2667 0.5000
Li 0.0000 0.8855 0.5000
Be 0.5000 0.4853 0.5000
Li 0.5000 0.1145 0.0000
Be 0.0000 0.5147 0.0000
Sn 0.5000 0.7333 0.0000
```

Calculated values
- Theoretical density: 4.30 g cm⁻³
- Raw total energy: -3.22 eV/atom

=====

[2]
VASP calculation (PBE) on a relaxed structure of Sm2OsPt. Values from VASP.

The structure in Quantum ESPRESSO input format:
```
&SYSTEM
  ibrav = 0, nat = 4, ntyp = 3
/
ATOMIC_SPECIES
Os 190.23 Os.upf
Sm 150.36 Sm.upf
Pt 195.08 Pt.upf
CELL_PARAMETERS angstrom
-1.8253 -2.1695 -2.0209
-1.7561 -1.1210 2.7896
-4.9360 5.1278 -1.0466
ATOMIC_POSITIONS crystal
Os 0.5000 0.5000 0.0000
Sm 0.0000 0.0000 0.7574
Sm 0.0000 0.0000 0.2426
Pt 0.5000 0.5000 0.5000
```

Calculated values
- Theoretical density: 13.06 g cm⁻³
- Raw total energy: -7.23 eV/atom

=====

Q: Among the records above, which one has the highest raw total energy?
A: LiBeSn

=====

Repeat the first record exactly.
VASP calculation (PBE) on a relaxed structure of LiBeSn. Values from VASP.

The structure in Quantum ESPRESSO input format:
```
&SYSTEM
  ibrav = 0, nat = 6, ntyp = 3
/
ATOMIC_SPECIES
Sn 118.71 Sn.upf
Li 6.94 Li.upf
Be 9.01 Be.upf
CELL_PARAMETERS angstrom
-2.5772 -0.7114 -2.8606
-5.5565 -0.6571 5.1695
-0.6501 3.4181 -0.2643
ATOMIC_POSITIONS crystal
Sn 0.0000 0.2667 0.5000
Li 0.0000 0.8855 0.5000
Be 0.5000 0.4853 0.5000
Li 0.5000 0.1145 0.0000
Be 0.0000 0.5147 0.0000
Sn 0.5000 0.7333 0.0000
```

Calculated values
- Theoretical density: 4.30 g cm⁻³
- Raw total energy: -3.22 eV/atom

=====

Q: The highest raw total energy belongs to which entry?
A: LiBeSn

=====

Q: Among the records above, which one has the highest theoretical density?
A: Sm2OsPt